First-principles (GGA-PBE) data for a relaxed structure of ZrMoAs2, as listed in the Alexandria database.

abc: 3.2108 3.2108 6.6260
angles: 90.00 90.00 90.00
Atoms (fractional coordinates):
Mo (0.5000, 0.5000, 0.2500)
As (0.0000, 0.0000, 0.0245)
As (0.0000, 0.0000, 0.4755)
Zr (0.5000, 0.5000, 0.7500)

- energy above the most stable polymorph in this dataset (meV/atom) = 222
- E_tot (eV per atom) = -7.61
- formation enthalpy at 0 K (eV/atom) = -0.437
- total magnetic moment (Bohr magnetons per cell) = 0.0

First-principles (GGA-PBE) data for a relaxed structure of Al2TlTe2, as listed in the Alexandria database.

abc: 5.2838 5.2838 6.8146
angles: 67.19 67.19 90.00
Atoms (fractional coordinates):
Tl (0.0000, 0.0000, 0.0000)
Te (0.3390, 0.3390, 0.3219)
Te (0.6610, 0.6610, 0.6781)
Al (0.7500, 0.2500, 0.5000)
Al (0.2500, 0.7500, 0.5000)

- energy above the most stable polymorph in this dataset (meV/atom) = 192
- E_tot (eV per atom) = -3.21
- ΔE_f (raw) (eV per atom) = 0.02
- total magnetic moment (Bohr magnetons per cell) = 0.0

First-principles (GGA-PBE) data for a relaxed structure of BaLiAu2Se, as listed in the Alexandria database.

abc: 4.8481 5.2830 4.8481
angles: 90.00 90.00 90.00
Atoms (fractional coordinates):
Au (0.0000, 0.0000, 0.5000)
Au (0.5000, 0.0000, 0.0000)
Ba (0.5000, 0.5000, 0.5000)
Se (0.0000, 0.5000, 0.0000)
Li (0.0000, 0.0000, 0.0000)

- E_tot (eV per atom) = -3.42
- ΔE_f (raw) (eV per atom) = -0.65
- total magnetic moment (Bohr magnetons per cell) = 0.0

total magnetic moment of number 1 (ZrMoAs2)?
0.0 Bohr magnetons per cell